Entry 1:
The following is a DFT calculation (PBE) of crystalline Sr4TbHg5 at its relaxed geometry.

Summary:
Final energy ... -1.804 eV/atom
Theoretical density ... 8.2 g/cm3
Formation enthalpy at 0 K ... -0.52 eV per atom
N(E_F) ... 0.687 states/eV per atom

a b c (Å): 3.927 3.927 19.866
angles (deg): 90.00 90.00 90.00
Fractional coordinates of all 10 atoms:
Sr 0.000 0.000 0.192
Sr 0.000 0.000 0.397
Sr 0.000 0.000 0.603
Sr 0.000 0.000 0.808
Tb 0.000 0.000 0.000
Hg 0.500 0.500 0.085
Hg 0.500 0.500 0.295
Hg 0.500 0.500 0.500
Hg 0.500 0.500 0.705
Hg 0.500 0.500 0.915

=====

Entry 2:
The following is a DFT calculation (PBE) of crystalline SrTb3Hg2 at its relaxed geometry.

Summary:
Final energy ... -3.006 eV/atom
Theoretical density ... 8.9 g/cm3
Formation enthalpy at 0 K ... -0.31 eV per atom
N(E_F) ... 1.012 states/eV per atom

a b c (Å): 5.193 7.456 9.356
angles (deg): 90.00 90.00 90.00
Fractional coordinates of all 12 atoms:
Sr 0.500 0.515 0.562
Sr 0.500 0.015 0.438
Tb 0.000 0.485 0.938
Tb 0.000 0.985 0.062
Tb 0.500 0.658 0.167
Tb 0.500 0.158 0.833
Tb 0.000 0.343 0.319
Tb 0.000 0.843 0.681
Hg 0.500 0.752 0.855
Hg 0.500 0.252 0.145
Hg 0.000 0.248 0.655
Hg 0.000 0.748 0.345

=====

Entry 3:
The following is a DFT calculation (PBE) of crystalline SrTb2Hg at its relaxed geometry.

Summary:
Final energy ... -2.788 eV/atom
Theoretical density ... 7.1 g/cm3
Formation enthalpy at 0 K ... 0.02 eV per atom
Polymorph energy (0 for the lowest one) ... 131.2 meV per atom
N(E_F) ... 1.058 states/eV per atom

a b c (Å): 5.161 5.161 6.858
angles (deg): 67.90 67.90 60.00
Fractional coordinates of all 4 atoms:
Sr 0.491 0.491 0.527
Tb 0.045 0.045 0.866
Tb 0.281 0.281 0.156
Hg 0.683 0.683 0.951

=====

Entry 4:
The following is a DFT calculation (PBE) of crystalline Sr2TbHg3 at its relaxed geometry.

Summary:
Final energy ... -1.993 eV/atom
Theoretical density ... 8.7 g/cm3
Formation enthalpy at 0 K ... -0.51 eV per atom
N(E_F) ... 0.750 states/eV per atom

a b c (Å): 3.887 3.887 11.841
angles (deg): 90.00 90.00 90.00
Fractional coordinates of all 6 atoms:
Sr 0.500 0.500 0.825
Sr 0.500 0.500 0.175
Tb 0.500 0.500 0.500
Hg 0.000 0.000 0.000
Hg 0.000 0.000 0.645
Hg 0.000 0.000 0.355

=====

Entry 5:
The following is a DFT calculation (PBE) of crystalline SrTb2Hg at its relaxed geometry.

Summary:
Final energy ... -2.919 eV/atom
Theoretical density ... 7.4 g/cm3
Formation enthalpy at 0 K ... -0.11 eV per atom
Polymorph energy (0 for the lowest one) ... 0.0 meV per atom
N(E_F) ... 1.481 states/eV per atom

a b c (Å): 3.795 3.795 9.485
angles (deg): 90.00 90.00 90.00
Fractional coordinates of all 4 atoms:
Sr 0.500 0.500 0.500
Tb 0.000 0.000 0.815
Tb 0.000 0.000 0.185
Hg 0.500 0.500 0.000

=====

Entry 6:
The following is a DFT calculation (PBE) of crystalline SrTbZnHg at its relaxed geometry.

Summary:
Final energy ... -2.293 eV/atom
Theoretical density ... 7.8 g/cm3
Formation enthalpy at 0 K ... -0.32 eV per atom
N(E_F) ... 0.951 states/eV per atom

a b c (Å): 5.366 5.366 5.366
angles (deg): 60.00 60.00 60.00
Fractional coordinates of all 4 atoms:
Sr 0.000 0.000 0.000
Zn 0.750 0.750 0.750
Tb 0.500 0.500 0.500
Hg 0.250 0.250 0.250

=====

Entry 7:
The following is a DFT calculation (PBE) of crystalline Sr3TcHg at its relaxed geometry.

Summary:
Final energy ... -2.726 eV/atom
Theoretical density ... 5.0 g/cm3
Formation enthalpy at 0 K ... 0.42 eV per atom
Polymorph energy (0 for the lowest one) ... 0.0 meV per atom
N(E_F) ... 0.581 states/eV per atom

a b c (Å): 5.701 5.701 5.701
angles (deg): 90.00 90.00 90.00
Site moments in Bohr magnetons follow the coordinates.
Fractional coordinates of all 5 atoms:
Sr 0.000 0.500 0.000  0.01
Sr 0.000 0.000 0.500  -0.01
Sr 0.500 0.000 0.000  0.01
Hg 0.500 0.500 0.500  0.00
Tc 0.000 0.000 0.000  0.73

=====

Entry 8:
The following is a DFT calculation (PBE) of crystalline SrTc2Hg at its relaxed geometry.

Summary:
Final energy ... -5.422 eV/atom
Theoretical density ... 8.2 g/cm3
Formation enthalpy at 0 K ... 0.26 eV per atom
N(E_F) ... 0.507 states/eV per atom

a b c (Å): 4.323 4.323 6.539
angles (deg): 70.69 70.69 60.00
Fractional coordinates of all 4 atoms:
Hg 0.466 0.466 0.603
Sr 0.257 0.257 0.230
Tc 0.053 0.053 0.842
Tc 0.725 0.725 0.825

=====

Entry 9:
The following is a DFT calculation (PBE) of crystalline SrTc2Hg at its relaxed geometry.

Summary:
Final energy ... -5.041 eV/atom
Theoretical density ... 9.6 g/cm3
Formation enthalpy at 0 K ... 0.64 eV per atom
N(E_F) ... 1.440 states/eV per atom

a b c (Å): 9.794 9.794 9.794
angles (deg): 18.62 18.62 18.62
Fractional coordinates of all 4 atoms:
Hg 0.509 0.509 0.509
Sr 0.743 0.743 0.743
Tc 0.987 0.987 0.987
Tc 0.260 0.260 0.260

=====

Entry 10:
The following is a DFT calculation (PBE) of crystalline SrTc2Hg at its relaxed geometry.

Summary:
Final energy ... -4.592 eV/atom
Theoretical density ... 10.2 g/cm3
Formation enthalpy at 0 K ... 1.09 eV per atom
N(E_F) ... 1.493 states/eV per atom

a b c (Å): 10.287 10.287 10.287
angles (deg): 16.71 16.71 16.71
Fractional coordinates of all 4 atoms:
Hg 0.250 0.250 0.250
Sr 0.750 0.750 0.750
Tc 0.994 0.994 0.994
Tc 0.506 0.506 0.506

=====

Entry 11:
The following is a DFT calculation (PBE) of crystalline SrTc3Hg at its relaxed geometry.

Summary:
Final energy ... -3.810 eV/atom
Theoretical density ... 8.6 g/cm3
Formation enthalpy at 0 K ... 2.81 eV per atom
Polymorph energy (0 for the lowest one) ... 861.0 meV per atom
N(E_F) ... 0.962 states/eV per atom

a b c (Å): 4.832 4.832 4.832
angles (deg): 90.00 90.00 90.00
Site moments in Bohr magnetons follow the coordinates.
Fractional coordinates of all 5 atoms:
Sr 0.000 0.000 0.000  -0.03
Hg 0.500 0.500 0.500  -0.03
Tc 0.000 0.500 0.000  1.11
Tc 0.000 0.000 0.500  1.11
Tc 0.500 0.000 0.000  1.12

=====

Entry 12:
The following is a DFT calculation (PBE) of crystalline SrTcHg at its relaxed geometry.

Summary:
Final energy ... -3.314 eV/atom
Theoretical density ... 8.9 g/cm3
Formation enthalpy at 0 K ... 0.80 eV per atom
Polymorph energy (0 for the lowest one) ... 261.6 meV per atom
N(E_F) ... 0.738 states/eV per atom

a b c (Å): 3.363 3.363 7.376
angles (deg): 90.00 90.00 120.00
Site moments in Bohr magnetons follow the coordinates.
Fractional coordinates of all 3 atoms:
Hg 0.000 0.000 0.972  0.03
Sr 0.667 0.333 0.349  -0.03
Tc 0.333 0.667 0.678  1.32

=====

- Which value of theoretical density does entry 1 give?
  8.2 g/cm3

=====

- Which value of formation enthalpy at 0 K does entry 4 give?
  -0.51 eV per atom